80
Lattice="-6.988 6.988 6.988 6.988 -6.988 6.988 6.988 6.988 -6.988" Properties=species:S:1:pos:R:3 comment="Cd5Ag3F12, optimized geometry, DFT PBE-GGA" total_energy_ev_per_atom=-3.477 e_form_raw_ev_per_atom=-1.698 space_group="No. 230" m_tot_mub_per_atom=0.00 rho_g_cm3=5.420 pbc="T T T"
Cd 0.000 0.000 0.000
Cd 3.494 3.494 -3.494
Cd 3.494 -3.494 3.494
Cd 6.988 0.000 0.000
Cd 10.481 1.747 0.000
Cd 6.988 -3.494 5.241
Cd 5.241 6.988 -3.494
Cd 5.241 0.000 3.494
Cd 3.494 5.241 0.000
Cd 6.988 3.494 1.747
Cd -3.494 3.494 3.494
Cd 0.000 6.988 0.000
Cd 0.000 0.000 6.988
Cd 3.494 3.494 3.494
Cd 0.000 3.494 5.241
Cd 3.494 1.747 6.988
Cd 1.747 6.988 3.494
Cd 1.747 0.000 10.481
Cd 0.000 10.481 1.747
Cd -3.494 5.241 6.988
Ag 3.494 1.747 0.000
Ag 6.988 3.494 -1.747
Ag 1.747 0.000 3.494
Ag 8.735 0.000 3.494
Ag 0.000 3.494 1.747
Ag 3.494 -1.747 6.988
Ag 3.494 8.735 0.000
Ag 6.988 3.494 5.241
Ag -1.747 6.988 3.494
Ag 5.241 6.988 3.494
Ag 0.000 3.494 8.735
Ag 3.494 5.241 6.988
F 2.033 -0.431 0.934
F 8.448 4.428 -3.925
F 6.556 -0.934 2.033
F 10.913 -1.460 2.560
F 9.021 0.431 0.934
F 8.448 -2.560 3.925
F 0.934 2.033 -0.431
F 9.548 3.063 -1.460
F 4.428 3.925 -1.460
F 6.054 2.033 0.431
F -0.431 0.934 2.033
F 3.925 -1.460 4.428
F 6.556 6.054 -2.033
F 3.925 1.460 2.560
F 6.054 -2.033 6.556
F 4.428 -3.925 8.448
F 2.560 3.925 1.460
F 7.921 4.954 0.431
F 2.033 6.556 -0.934
F 8.448 2.560 3.063
F 3.925 8.448 -2.560
F 6.556 0.934 4.954
F 1.460 2.560 3.925
F 2.033 0.431 6.054
F 4.954 6.556 0.934
F 5.527 4.428 3.063
F 0.431 6.054 2.033
F 3.063 -1.460 9.548
F -1.460 4.428 3.925
F 4.954 0.431 7.921
F -0.934 2.033 6.556
F 4.428 3.063 5.527
F 2.560 10.913 -1.460
F 0.934 9.021 0.431
F 3.063 5.527 4.428
F 0.431 0.934 9.021
F 3.063 8.448 2.560
F 7.419 6.054 4.954
F 0.934 4.954 6.556
F 2.560 3.063 8.448
F -2.560 3.925 8.448
F 6.054 4.954 7.419
F -1.460 9.548 3.063
F -2.033 6.556 6.054
F -3.925 8.448 4.428
F 0.431 7.921 4.954
F -1.460 2.560 10.913
F 4.954 7.419 6.054